# 1
Compound: PmY2ErP4
Source: Alexandria
Functional: PBE
Structure: optimized geometry

Lattice parameters (Å, degrees): 6.984 4.035 6.985 90.00 109.47 90.00
Positions (direct):
Pm: 0.000 0.000 0.000
Y: 0.000 0.500 0.500
Y: 0.500 0.000 0.500
Er: 0.500 0.500 0.000
P: 0.254 0.000 0.750
P: 0.256 0.500 0.254
P: 0.744 0.500 0.746
P: 0.746 0.000 0.250

## Properties
* formation enthalpy at 0 K: -1.601 eV/atom
* SG: P2/m
* DFT total energy: -7.086 eV per atom

***

# 2
Compound: PmYEr2P4
Source: Alexandria
Functional: PBE
Structure: optimized geometry

Lattice parameters (Å, degrees): 6.963 4.024 6.964 90.00 109.47 90.00
Positions (direct):
Pm: 0.000 0.000 0.000
Y: 0.000 0.500 0.500
Er: 0.500 0.000 0.500
Er: 0.500 0.500 0.000
P: 0.255 0.000 0.749
P: 0.258 0.500 0.256
P: 0.742 0.500 0.744
P: 0.745 0.000 0.251

## Properties
* formation enthalpy at 0 K: -1.598 eV/atom
* SG: P2/m
* DFT total energy: -6.845 eV per atom

***

# 3
Compound: PrEr4P5
Source: Alexandria
Functional: PBE
Structure: optimized geometry

Lattice parameters (Å, degrees): 6.954 6.954 9.845 118.12 118.12 33.60
Positions (direct):
Pr: 0.000 0.000 0.000
Er: 0.201 0.201 0.796
Er: 0.402 0.402 0.600
Er: 0.598 0.598 0.400
Er: 0.799 0.799 0.204
P: 0.000 0.000 0.500
P: 0.203 0.203 0.308
P: 0.395 0.395 0.104
P: 0.605 0.605 0.896
P: 0.797 0.797 0.692

## Properties
* formation enthalpy at 0 K: -1.578 eV/atom
* SG: C2/m
* DFT total energy: -6.586 eV per atom

***

# 4
Compound: PrEr2P
Source: Alexandria
Functional: PBE
Structure: optimized geometry

Lattice parameters (Å, degrees): 10.518 10.518 10.518 20.34 20.34 20.34
Positions (direct):
Pr: 0.000 0.000 0.000
Er: 0.114 0.114 0.114
Er: 0.886 0.886 0.886
P: 0.500 0.500 0.500

## Properties
* formation enthalpy at 0 K: -0.548 eV/atom
* SG: R-3m
* DFT total energy: -5.377 eV per atom

***

# 5
Compound: Pr2ErP3
Source: Alexandria
Functional: PBE
Structure: optimized geometry

Lattice parameters (Å, degrees): 9.229 9.229 9.229 154.10 154.10 36.95
Positions (direct):
Pr: 0.166 0.166 0.000
Pr: 0.834 0.834 0.000
Er: 0.500 0.500 0.000
P: 0.000 0.000 0.000
P: 0.337 0.337 0.000
P: 0.663 0.663 0.000

## Properties
* formation enthalpy at 0 K: -1.518 eV/atom
* SG: I4/mmm
* DFT total energy: -6.577 eV per atom

***

# 6
Compound: Pr2ErP3Pt12
Source: Alexandria
Functional: PBE
Structure: optimized geometry

Lattice parameters (Å, degrees): 7.773 7.773 7.773 64.54 64.54 64.54
Positions (direct):
Pr: 0.101 0.101 0.101
Pr: 0.899 0.899 0.899
Er: 0.500 0.500 0.500
P: 0.000 0.500 0.500
P: 0.500 0.000 0.500
P: 0.500 0.500 0.000
Pt: 0.101 0.639 0.639
Pt: 0.161 0.161 0.601
Pt: 0.161 0.601 0.161
Pt: 0.361 0.361 0.899
Pt: 0.361 0.899 0.361
Pt: 0.399 0.839 0.839
Pt: 0.601 0.161 0.161
Pt: 0.639 0.101 0.639
Pt: 0.639 0.639 0.101
Pt: 0.839 0.399 0.839
Pt: 0.839 0.839 0.399
Pt: 0.899 0.361 0.361

## Properties
* formation enthalpy at 0 K: -0.490 eV/atom
* SG: R-3m
* DFT total energy: -6.204 eV per atom

***

# 7
Compound: Pr2ErPuP4
Source: Alexandria
Functional: PBE
Structure: optimized geometry

Lattice parameters (Å, degrees): 7.066 4.096 7.084 90.00 109.47 90.00
Positions (direct):
Pr: 0.000 0.000 0.000
Pr: 0.500 0.500 0.000
Er: 0.000 0.500 0.500
Pu: 0.500 0.000 0.500
P: 0.246 0.000 0.734
P: 0.257 0.500 0.267
P: 0.743 0.500 0.733
P: 0.754 0.000 0.266

## Properties
* formation enthalpy at 0 K: -1.429 eV/atom
* SG: P2/m
* DFT total energy: -7.691 eV per atom

***

# 8
Compound: PrErP2Rh5
Source: Alexandria
Functional: PBE
Structure: optimized geometry

Lattice parameters (Å, degrees): 4.073 4.073 10.595 90.00 90.00 90.00
Positions (direct):
Pr: 0.000 0.000 0.000
Er: 0.000 0.000 0.500
P: 0.500 0.500 0.215
P: 0.500 0.500 0.785
Rh: 0.000 0.500 0.307
Rh: 0.000 0.500 0.693
Rh: 0.500 0.000 0.307
Rh: 0.500 0.000 0.693
Rh: 0.500 0.500 0.000

## Properties
* formation enthalpy at 0 K: -0.772 eV/atom
* SG: P4/mmm
* DFT total energy: -7.096 eV per atom